The following is a GGA-PBE calculation of a relaxed Na3CrBi crystal, from Alexandria via LeMat-Bulk.

Lattice parameters (Å, degrees): 5.5631 5.5631 5.5631 90.00 90.00 90.00
Last column: nearest neighbours and their distance in Å.
Positions (direct):
Na: 0.0000 0.0000 0.5000  2 Cr 2.78
Na: 0.0000 0.5000 0.0000  2 Cr 2.78
Na: 0.5000 0.0000 0.0000  2 Cr 2.78
Cr: 0.0000 0.0000 0.0000  6 Na 2.78
Bi: 0.5000 0.5000 0.5000  12 Na 3.93

Offset from the most stable computed form, eV/atom: 0.1745
Total moment, μB/f.u.: 5.090
Energy of formation, meV/atom: 685
D(E_F), states/eV per atom: 0.84
Space group: No. 221